No. 1
Here is a crystal of BiF5 relaxed with PBEsol from Alexandria via LeMat-Bulk. Energies are from meta-GGA SCAN.

a = 5.1461 Å, b = 5.1461 Å, c = 5.1461 Å
α = 100.07°, β = 100.07°, γ = 130.56°
Last column: nearest neighbours and their distance in Å.
Fractional positions:
Bi (0.0000, 0.0000, 0.0000)  6 F 2.00-2.15
F (0.0959, 0.7138, 0.8097)  1 Bi 2.00
F (0.2862, 0.0959, 0.3821)  1 Bi 2.00
F (0.5000, 0.5000, 0.0000)  2 Bi 2.15
F (0.7138, 0.9041, 0.6179)  1 Bi 2.00
F (0.9041, 0.2862, 0.1903)  1 Bi 2.00

Computed properties:
Excess energy over the best structure of this formula in the dataset (meV per atom): 0
SG: I4/m
Formation energy (no corrections) (kJ/mol of atoms): -166.2


No. 2
Here is a crystal of BiF3 relaxed with PBEsol from Alexandria via LeMat-Bulk. Energies are from meta-GGA SCAN.

a = 6.7159 Å, b = 7.1467 Å, c = 4.3886 Å
α = 90.00°, β = 90.00°, γ = 90.00°
Last column: nearest neighbours and their distance in Å.
Fractional positions:
Bi (0.1298, 0.2500, 0.0680)  9 F 2.37-2.46
Bi (0.3702, 0.7500, 0.5680)  9 F 2.37-2.46
Bi (0.6298, 0.2500, 0.4320)  9 F 2.37-2.46
Bi (0.8702, 0.7500, 0.9320)  9 F 2.37-2.46
F (0.0154, 0.7500, 0.4297)  3 Bi 2.39-2.46, 2 F 2.63
F (0.1636, 0.5671, 0.8971)  3 Bi 2.37-2.40, 3 F 2.56-2.63
F (0.1636, 0.9329, 0.8971)  3 Bi 2.37-2.40, 3 F 2.56-2.63
F (0.3364, 0.0671, 0.3971)  3 Bi 2.37-2.40, 3 F 2.56-2.63
F (0.3364, 0.4329, 0.3971)  3 Bi 2.37-2.40, 3 F 2.56-2.63
F (0.4846, 0.2500, 0.9297)  3 Bi 2.39-2.46, 2 F 2.63
F (0.5154, 0.7500, 0.0703)  3 Bi 2.39-2.46, 2 F 2.63
F (0.6636, 0.5671, 0.6029)  3 Bi 2.37-2.40, 3 F 2.56-2.63
F (0.6636, 0.9329, 0.6029)  3 Bi 2.37-2.40, 3 F 2.56-2.63
F (0.8364, 0.0671, 0.1029)  3 Bi 2.37-2.40, 3 F 2.56-2.63
F (0.8364, 0.4329, 0.1029)  3 Bi 2.37-2.40, 3 F 2.56-2.63
F (0.9846, 0.2500, 0.5703)  3 Bi 2.39-2.46, 2 F 2.63

Computed properties:
SG: Pnma
Formation energy (no corrections) (kJ/mol of atoms): -236.2


No. 3
Here is a crystal of BiF5 relaxed with PBEsol from Alexandria via LeMat-Bulk. Energies are from meta-GGA SCAN.

a = 5.6144 Å, b = 5.6144 Å, c = 8.0579 Å
α = 111.54°, β = 111.54°, γ = 55.52°
Last column: nearest neighbours and their distance in Å.
Fractional positions:
Bi (0.0000, 0.0000, 0.0000)  6 F 1.99-2.16
Bi (0.0000, 0.0000, 0.5000)  6 F 1.99-2.16
F (0.0491, 0.3501, 0.6413)  1 Bi 1.99
F (0.1514, 0.8486, 0.7500)  2 Bi 2.16
F (0.2244, 0.5888, 0.0410)  1 Bi 2.00
F (0.3501, 0.0491, 0.1413)  1 Bi 1.99
F (0.4112, 0.7756, 0.4590)  1 Bi 2.00
F (0.5888, 0.2244, 0.5410)  1 Bi 2.00
F (0.6499, 0.9509, 0.8587)  1 Bi 1.99
F (0.7756, 0.4112, 0.9590)  1 Bi 2.00
F (0.8486, 0.1514, 0.2500)  2 Bi 2.16
F (0.9509, 0.6499, 0.3587)  1 Bi 1.99

Computed properties:
Excess energy over the best structure of this formula in the dataset (meV per atom): 5
SG: C2/c
Formation energy (no corrections) (kJ/mol of atoms): -165.6


No. 4
Here is a crystal of BiF5 relaxed with PBEsol from Alexandria via LeMat-Bulk. Energies are from meta-GGA SCAN.

a = 5.2839 Å, b = 10.3101 Å, c = 8.2330 Å
α = 90.00°, β = 113.28°, γ = 90.00°
Last column: nearest neighbours and their distance in Å.
Fractional positions:
Bi (0.1231, 0.2483, 0.4001)  6 F 1.99-2.16
Bi (0.1231, 0.2517, 0.9001)  6 F 1.99-2.16
Bi (0.8769, 0.7483, 0.0999)  6 F 1.99-2.16
Bi (0.8769, 0.7517, 0.5999)  6 F 1.99-2.16
F (0.0905, 0.5901, 0.2144)  1 Bi 2.00
F (0.0905, 0.9099, 0.7144)  1 Bi 2.00
F (0.1204, 0.1864, 0.6504)  2 Bi 2.16
F (0.1204, 0.3136, 0.1504)  2 Bi 2.16
F (0.2274, 0.6538, 0.6555)  1 Bi 2.00
F (0.2274, 0.8462, 0.1555)  1 Bi 2.00
F (0.3377, 0.0970, 0.0242)  1 Bi 1.99
F (0.3377, 0.4030, 0.5242)  1 Bi 1.99
F (0.4705, 0.1491, 0.4502)  1 Bi 2.00
F (0.4705, 0.3509, 0.9502)  1 Bi 2.00
F (0.5295, 0.6491, 0.0498)  1 Bi 2.00
F (0.5295, 0.8509, 0.5498)  1 Bi 2.00
F (0.6623, 0.5970, 0.4758)  1 Bi 1.99
F (0.6623, 0.9030, 0.9758)  1 Bi 1.99
F (0.7726, 0.1538, 0.8445)  1 Bi 2.00
F (0.7726, 0.3462, 0.3445)  1 Bi 2.00
F (0.8796, 0.6864, 0.8496)  2 Bi 2.16
F (0.8796, 0.8136, 0.3496)  2 Bi 2.16
F (0.9095, 0.0901, 0.2856)  1 Bi 2.00
F (0.9095, 0.4099, 0.7856)  1 Bi 2.00

Computed properties:
Excess energy over the best structure of this formula in the dataset (meV per atom): 16
SG: P2_1/c
Formation energy (no corrections) (kJ/mol of atoms): -164.6


No. 5
Here is a crystal of FeBiF3 relaxed with PBEsol from Alexandria via LeMat-Bulk. Energies are from meta-GGA SCAN.

a = 4.5783 Å, b = 4.5783 Å, c = 4.5783 Å
α = 90.00°, β = 90.00°, γ = 90.00°
Last column: nearest neighbours and their distance in Å.
Fractional positions:
Fe (0.0000, 0.0000, 0.0000)  12 F 3.24
Bi (0.5000, 0.5000, 0.5000)  6 F 2.29
F (0.0000, 0.5000, 0.5000)  2 Bi 2.29
F (0.5000, 0.0000, 0.5000)  2 Bi 2.29
F (0.5000, 0.5000, 0.0000)  2 Bi 2.29

Computed properties:
SG: Pm-3m
Formation energy (no corrections) (kJ/mol of atoms): -88.8


No. 6
Here is a crystal of Fe2HgBiF relaxed with PBEsol from Alexandria via LeMat-Bulk. Energies are from meta-GGA SCAN.

a = 5.0081 Å, b = 5.0081 Å, c = 5.7034 Å
α = 90.00°, β = 90.00°, γ = 90.00°
Last column: nearest neighbours and their distance in Å.
Fractional positions:
Fe (0.0000, 0.5000, 0.0000)  2 Bi 2.50
Fe (0.5000, 0.0000, 0.0000)  2 Bi 2.50
Hg (0.0000, 0.0000, 0.5000)  2 Bi 2.85
Bi (0.0000, 0.0000, 0.0000)  4 Fe 2.50
F (0.5000, 0.5000, 0.5000)  4 Hg 3.54, 8 Fe 3.80

Computed properties:
SG: P4/mmm
Formation energy (no corrections) (kJ/mol of atoms): 66.1


No. 7
Here is a crystal of Ga3BiF relaxed with PBEsol from Alexandria via LeMat-Bulk. Energies are from meta-GGA SCAN.

a = 5.6748 Å, b = 5.6748 Å, c = 5.6748 Å
α = 90.00°, β = 90.00°, γ = 90.00°
Last column: nearest neighbours and their distance in Å.
Fractional positions:
Ga (0.0000, 0.0000, 0.5000)  2 Bi 2.84
Ga (0.0000, 0.5000, 0.0000)  2 Bi 2.84
Ga (0.5000, 0.0000, 0.0000)  2 Bi 2.84
Bi (0.0000, 0.0000, 0.0000)  6 Ga 2.84
F (0.5000, 0.5000, 0.5000)  12 Ga 4.01

Computed properties:
SG: Pm-3m
Formation energy (no corrections) (kJ/mol of atoms): 37.3


No. 8
Here is a crystal of GaBiOF2 relaxed with PBEsol from Alexandria via LeMat-Bulk. Energies are from meta-GGA SCAN.

a = 4.3504 Å, b = 4.3504 Å, c = 3.6528 Å
α = 90.00°, β = 90.00°, γ = 90.00°
Last column: nearest neighbours and their distance in Å.
Fractional positions:
Ga (0.0000, 0.0000, 0.0000)  2 O 1.83
Bi (0.5000, 0.5000, 0.5000)  8 F 2.84, 4 O 3.08
O (0.0000, 0.0000, 0.5000)  2 Ga 1.83
F (0.0000, 0.5000, 0.0000)  2 Ga 2.18
F (0.5000, 0.0000, 0.0000)  2 Ga 2.18

Computed properties:
SG: P4/mmm
Formation energy (no corrections) (kJ/mol of atoms): -138.0


No. 9
Here is a crystal of GaRe2BiF relaxed with PBEsol from Alexandria via LeMat-Bulk. Energies are from meta-GGA SCAN.

a = 4.2336 Å, b = 4.2336 Å, c = 4.6999 Å
α = 90.00°, β = 90.00°, γ = 90.00°
Last column: nearest neighbours and their distance in Å.
Fractional positions:
Ga (0.0000, 0.0000, 0.0000)  2 F 2.35
Re (0.0000, 0.5000, 0.5000)  2 F 2.12
Re (0.5000, 0.0000, 0.5000)  2 F 2.12
Bi (0.5000, 0.5000, 0.0000)  4 Ga 2.99, 8 Re 3.16
F (0.0000, 0.0000, 0.5000)  4 Re 2.12, 2 Ga 2.35

Computed properties:
SG: P4/mmm
Formation energy (no corrections) (kJ/mol of atoms): 120.0


No. 10
Here is a crystal of GeBiO2F relaxed with PBEsol from Alexandria via LeMat-Bulk. Energies are from meta-GGA SCAN.

a = 3.9719 Å, b = 3.9719 Å, c = 4.1875 Å
α = 90.00°, β = 90.00°, γ = 90.00°
Last column: nearest neighbours and their distance in Å.
Fractional positions:
Ge (0.0000, 0.0000, 0.0000)  4 O 1.99, 2 F 2.09
Bi (0.5000, 0.5000, 0.5000)  4 F 2.81, 8 O 2.89
O (0.0000, 0.5000, 0.0000)  2 Ge 1.99
O (0.5000, 0.0000, 0.0000)  2 Ge 1.99
F (0.0000, 0.0000, 0.5000)  2 Ge 2.09

Computed properties:
SG: P4/mmm
Formation energy (no corrections) (kJ/mol of atoms): -92.0


No. 11
Here is a crystal of GeBiRh2F relaxed with PBEsol from Alexandria via LeMat-Bulk. Energies are from meta-GGA SCAN.

a = 4.6403 Å, b = 4.6403 Å, c = 3.9813 Å
α = 90.00°, β = 90.00°, γ = 90.00°
Last column: nearest neighbours and their distance in Å.
Fractional positions:
Ge (0.0000, 0.0000, 0.0000)  2 F 1.99
Bi (0.5000, 0.5000, 0.5000)  8 Rh 3.06, 4 F 3.28
Rh (0.0000, 0.5000, 0.0000)  2 Ge 2.32
Rh (0.5000, 0.0000, 0.0000)  2 Ge 2.32
F (0.0000, 0.0000, 0.5000)  2 Ge 1.99

Computed properties:
SG: P4/mmm
Formation energy (no corrections) (kJ/mol of atoms): -30.6


No. 12
Here is a crystal of Bi2HF relaxed with PBEsol from Alexandria via LeMat-Bulk. Energies are from meta-GGA SCAN.

a = 4.5996 Å, b = 4.5996 Å, c = 4.5996 Å
α = 60.00°, β = 60.00°, γ = 60.00°
Last column: nearest neighbours and their distance in Å.
Fractional positions:
Bi (0.2500, 0.2500, 0.2500)  4 H 2.82, 4 F 2.82
Bi (0.7500, 0.7500, 0.7500)  4 F 2.82, 4 H 2.82
H (0.0000, 0.0000, 0.0000)  8 Bi 2.82
F (0.5000, 0.5000, 0.5000)  8 Bi 2.82

Computed properties:
SG: Fm-3m
Final energy (eV/atom): -41.18


> Number 4 is which compound?

BiF5